Computed, not measured: a relaxed ZrSc5 crystal at the PBE-GGA level of DFT.

Values from the calculation:
Energy in eV per formula unit: -40.249
Energy of formation in eV/atom: -0.007
Crystal system: hexagonal

```
data_ZrSc5
_chemical_formula_sum 'Zr1 Sc5'
_space_group_name_H-M_alt 'P -6 2 m'
_space_group_IT_number 189
_space_group_name_Hall 'P -6 -2'
_cell_length_a 5.7109
_cell_length_b 5.7109
_cell_length_c 5.1183
_cell_angle_alpha 90.00
_cell_angle_beta 90.00
_cell_angle_gamma 120.00
loop_
_atom_site_label
_atom_site_type_symbol
_atom_site_fract_x
_atom_site_fract_y
_atom_site_fract_z
Zr1 Zr 0.0000 0.0000 0.0000
Sc1 Sc 0.0000 0.6748 0.5000
Sc2 Sc 0.3333 0.6667 0.0000
```